(1)
First-principles (PBE) data for a relaxed structure of Ni2B2Rh, as listed in Alexandria via LeMat-Bulk.

Cell and atoms, written as POSCAR:
```
Ni2B2Rh
1.0
4.001 0.000 0.000
0.000 3.138 0.000
-1.133 0.000 7.763
Ni B Rh
4 4 2
direct
0.099 0.250 0.381
0.244 0.250 0.037
0.756 0.750 0.963
0.901 0.750 0.619
0.202 0.750 0.866
0.376 0.750 0.516
0.624 0.250 0.484
0.798 0.250 0.134
0.422 0.250 0.727
0.578 0.750 0.273
```

Calculated values
ΔE to the lowest computed polymorph, meV per atom: 0
Size of the total moment, μB per formula unit: 0.00
Space group: P2_1/m
Energy relative to the elements, eV per atom: -0.2357



(2)
First-principles (PBE) data for a relaxed structure of InIrPb2, as listed in Alexandria via LeMat-Bulk.

Cell and atoms, written as POSCAR:
```
InIrPb2
1.0
3.338 0.000 0.000
0.000 3.852 0.000
-1.665 0.000 7.974
In Ir Pb
1 1 2
direct
0.000 0.000 0.000
0.558 0.500 0.116
0.354 0.500 0.717
0.684 0.000 0.383
```

Calculated values
Size of the total moment, μB per formula unit: 0.00
Space group: Pm
Energy relative to the elements, eV per atom: 0.1418



(3)
First-principles (PBE) data for a relaxed structure of Ba3Se, as listed in Alexandria via LeMat-Bulk.

Cell and atoms, written as POSCAR:
```
Ba3Se
1.0
-2.077 2.719 8.344
2.077 -2.719 8.344
2.077 2.719 -8.344
Ba Se
3 1
direct
0.000 0.000 0.000
0.333 0.833 0.500
0.667 0.167 0.500
0.500 0.500 0.000
```

Calculated values
ΔE to the lowest computed polymorph, meV per atom: 120
Size of the total moment, μB per formula unit: 0.00
ΔE_f (raw), eV/atom: -0.80
Space group: Immm



(4)
First-principles (PBE) data for a relaxed structure of NaGa4Pb, as listed in Alexandria via LeMat-Bulk.

Cell and atoms, written as POSCAR:
```
NaGa4Pb
1.0
0.000 4.060 4.060
4.060 0.000 4.060
4.060 4.060 0.000
Na Ga Pb
1 4 1
direct
0.000 0.000 0.000
0.123 0.626 0.626
0.626 0.123 0.626
0.626 0.626 0.123
0.626 0.626 0.626
0.250 0.250 0.250
```

Calculated values
Size of the total moment, μB per formula unit: 0.00
Space group: F-43m
Energy relative to the elements, eV per atom: -0.0456



(5)
First-principles (PBE) data for a relaxed structure of KSr2In2, as listed in Alexandria via LeMat-Bulk.

Cell and atoms, written as POSCAR:
```
KSr2In2
1.0
9.846 0.000 0.000
0.000 9.846 0.000
0.000 0.000 3.934
K Sr In
2 4 4
direct
0.000 0.000 0.000
0.500 0.500 0.000
0.143 0.357 0.000
0.357 0.857 0.000
0.643 0.143 0.000
0.857 0.643 0.000
0.151 0.651 0.500
0.349 0.151 0.500
0.651 0.849 0.500
0.849 0.349 0.500
```

Calculated values
ΔE to the lowest computed polymorph, meV per atom: 43
Size of the total moment, μB per formula unit: 0.00
Space group: P4/mbm
Energy relative to the elements, eV per atom: -0.2154



(6)
First-principles (PBE) data for a relaxed structure of Ca3TcI, as listed in Alexandria via LeMat-Bulk.

Cell and atoms, written as POSCAR:
```
Ca3TcI
1.0
5.770 0.000 0.000
0.000 5.770 0.000
0.000 0.000 5.770
Ca Tc I
3 1 1
direct
0.000 0.000 0.500
0.000 0.500 0.000
0.500 0.000 0.000
0.500 0.500 0.500
0.000 0.000 0.000
```

Calculated values
ΔE to the lowest computed polymorph, meV per atom: 593
Size of the total moment, μB per formula unit: 1.53
ΔE_f (raw), eV/atom: 0.76
Space group: Pm-3m



(7)
First-principles (PBE) data for a relaxed structure of BaSiPt3, as listed in Alexandria via LeMat-Bulk.

Cell and atoms, written as POSCAR:
```
BaSiPt3
1.0
5.333 0.000 0.000
0.000 5.333 0.000
0.000 0.000 5.333
Ba Si Pt
1 1 3
direct
0.000 0.000 0.000
0.500 0.500 0.500
0.000 0.000 0.500
0.000 0.500 0.000
0.500 0.000 0.000
```

Calculated values
ΔE to the lowest computed polymorph, meV per atom: 2589
Size of the total moment, μB per formula unit: 0.00
ΔE_f (raw), eV/atom: 1.88
Space group: Pm-3m



(8)
First-principles (PBE) data for a relaxed structure of NaMgTi3, as listed in Alexandria via LeMat-Bulk.

Cell and atoms, written as POSCAR:
```
NaMgTi3
1.0
5.022 0.000 0.000
0.000 5.022 0.000
0.000 0.000 5.022
Na Mg Ti
1 1 3
direct
0.000 0.000 0.000
0.500 0.500 0.500
0.000 0.500 0.500
0.500 0.000 0.500
0.500 0.500 0.000
```

Calculated values
ΔE to the lowest computed polymorph, meV per atom: 0
Size of the total moment, μB per formula unit: 4.72
Space group: Pm-3m
Energy relative to the elements, eV per atom: 1.3884



(9)
First-principles (PBE) data for a relaxed structure of La8Ru3I4N, as listed in Alexandria via LeMat-Bulk.

Cell and atoms, written as POSCAR:
```
La8Ru3I4N
1.0
7.152 -4.137 0.000
7.152 4.137 0.000
-4.758 0.000 8.246
La Ru I N
8 3 4 1
direct
0.217 0.217 0.674
0.218 0.739 0.675
0.261 0.782 0.325
0.269 0.269 0.306
0.731 0.731 0.694
0.739 0.218 0.675
0.782 0.261 0.325
0.783 0.783 0.326
0.000 0.500 0.500
0.500 0.000 0.500
0.500 0.500 0.500
0.000 0.000 0.000
0.000 0.500 0.000
0.500 0.000 0.000
0.500 0.500 0.000
0.000 0.000 0.500
```

Calculated values
Size of the total moment, μB per formula unit: 0.00
ΔE_f (raw), eV/atom: -0.89
Space group: C2/m



(10)
First-principles (PBE) data for a relaxed structure of Th5Ge2Pb, as listed in Alexandria via LeMat-Bulk.

Cell and atoms, written as POSCAR:
```
Th5Ge2Pb
1.0
-4.011 4.011 7.143
4.011 -4.011 7.143
4.011 4.011 -7.143
Th Ge Pb
10 4 2
direct
0.000 0.000 0.000
0.011 0.511 0.810
0.202 0.011 0.500
0.298 0.798 0.810
0.489 0.298 0.500
0.500 0.500 0.000
0.511 0.702 0.500
0.702 0.202 0.190
0.798 0.989 0.500
0.989 0.489 0.190
0.141 0.359 0.500
0.359 0.859 0.218
0.641 0.141 0.782
0.859 0.641 0.500
0.250 0.250 0.000
0.750 0.750 0.000
```

Calculated values
Size of the total moment, μB per formula unit: 0.02
Space group: I4/mcm
Energy relative to the elements, eV per atom: -0.4933



(11)
First-principles (PBE) data for a relaxed structure of TbDy12Sc3, as listed in Alexandria via LeMat-Bulk.

Cell and atoms, written as POSCAR:
```
TbDy12Sc3
1.0
4.944 0.000 0.000
0.000 4.944 0.000
0.000 0.000 19.704
Tb Dy Sc
1 12 3
direct
0.000 0.000 0.000
0.000 0.500 0.129
0.000 0.500 0.376
0.000 0.500 0.624
0.000 0.500 0.871
0.500 0.000 0.129
0.500 0.000 0.376
0.500 0.000 0.624
0.500 0.000 0.871
0.500 0.500 0.000
0.500 0.500 0.253
0.500 0.500 0.500
0.500 0.500 0.747
0.000 0.000 0.252
0.000 0.000 0.500
0.000 0.000 0.748
```

Calculated values
Size of the total moment, μB per formula unit: 0.00
Space group: P4/mmm
Energy relative to the elements, eV per atom: 0.0354



(12)
First-principles (PBE) data for a relaxed structure of Ga2SeS, as listed in Alexandria via LeMat-Bulk.

Cell and atoms, written as POSCAR:
```
Ga2SeS
1.0
-3.340 3.340 4.054
3.340 -3.340 4.054
3.340 3.340 -4.054
Ga Se S
4 2 2
direct
0.110 0.625 0.985
0.375 0.360 0.485
0.640 0.125 0.015
0.875 0.890 0.515
0.250 0.750 0.500
0.500 0.500 0.000
0.000 0.000 0.000
0.750 0.250 0.500
```

Calculated values
ΔE to the lowest computed polymorph, meV per atom: 334
Size of the total moment, μB per formula unit: 0.00
ΔE_f (raw), eV/atom: -0.28
Space group: I-42d



Question: Number 3 is which compound?
Answer: Ba3Se



Question: What is the size of the total moment in the fourth record?
Answer: 0.00 μB per formula unit